Ce5Sn4H | PBE-GGA | optimized geometry

a b c (Å): 9.765 9.765 6.326
angles (deg): 90.00 90.00 90.00
Space group I4 (No. 79)
Symmetry-distinct sites (fractional):
Ce (0.000, 0.000, 0.000) [2 per cell]
Ce (0.098, 0.281, 0.440) [8 per cell]
Sn (0.090, 0.303, 0.938) [8 per cell]
H (0.000, 0.000, 0.392) [2 per cell]

## Properties
Its density of states at the Fermi level is 54.94 states/eV/cell. Its uncorrected energy is -0.1926 Ha/atom.